Entry 1:
Computed, not measured: a geometry-optimized Pa2GaNi12H3 structure at the GGA-PBE level of DFT.

POSCAR file:
```
Pa2GaNi12H3
1.0
3.277 1.892 5.599
-3.277 1.892 5.599
0.000 -3.784 5.599
Pa Ga Ni H
2 1 12 3
Cartesian
0.000 0.000 1.646
0.000 0.000 15.152
0.000 0.000 8.399
-1.968 -1.136 7.489
0.000 -1.424 5.821
-1.233 0.712 5.821
0.000 -2.273 9.309
-1.968 1.136 9.309
-1.233 -0.712 10.977
1.233 0.712 5.821
1.968 -1.136 7.489
0.000 2.273 7.489
1.233 -0.712 10.977
0.000 1.424 10.977
1.968 1.137 9.309
-1.638 -0.946 5.599
-1.638 0.946 11.199
0.000 1.892 5.599
```

E_tot: -5.81 eV/atom
N(E_F): 13.7 states/eV/f.u.


Entry 2:
Computed, not measured: a geometry-optimized Zr7P structure at the GGA-PBE level of DFT.

POSCAR file:
```
Zr7P
1.0
0.000 4.404 4.404
4.404 0.000 4.404
4.404 4.404 0.000
Zr P
7 1
Cartesian
0.000 0.000 0.000
2.202 2.202 0.000
2.202 0.000 2.202
4.404 2.202 2.202
0.000 2.202 2.202
2.202 4.404 2.202
2.202 2.202 4.404
4.404 4.404 4.404
```

E_tot: -8.30 eV/atom
formation energy from the elements: -0.14 eV per atom
N(E_F): 8.9 states/eV/f.u.


Entry 3:
Computed, not measured: a geometry-optimized Sr2Tc3O10 structure at the GGA-PBE level of DFT.

POSCAR file:
```
Sr2Tc3O10
1.0
9.282 -2.870 0.000
9.282 2.870 0.000
-3.082 0.000 7.265
Sr Tc O
4 6 20
Cartesian
1.140 0.000 1.657
1.173 0.000 5.854
14.310 0.000 1.411
14.342 0.000 5.609
7.741 1.313 3.633
4.362 0.000 3.420
7.666 0.000 0.047
7.817 0.000 7.219
11.121 0.000 3.845
7.741 -1.313 3.633
3.100 1.435 3.633
-1.687 0.000 4.852
6.591 1.431 0.177
5.788 1.344 3.459
4.249 0.000 1.602
9.282 1.237 0.000
4.495 0.000 5.447
9.695 1.344 3.806
8.891 1.431 7.089
7.847 0.000 2.109
3.100 -1.435 3.633
7.636 0.000 5.157
6.591 -1.431 0.177
5.788 -1.344 3.459
10.988 0.000 1.819
9.282 -1.237 0.000
11.233 0.000 5.664
9.695 -1.344 3.806
8.891 -1.431 7.089
17.170 0.000 2.413
```

E_tot: -7.47 eV/atom
energy relative to the elements, uncorrected: -1.87 eV per atom
N(E_F): 4.4 states/eV/f.u.


Entry 4:
Computed, not measured: a geometry-optimized Ba8MgPd2 structure at the GGA-PBE level of DFT.

POSCAR file:
```
Ba8MgPd2
1.0
5.221 -7.577 0.000
5.221 7.577 0.000
-1.454 0.000 6.415
Ba Mg Pd
8 1 2
Cartesian
0.000 0.000 0.000
1.011 2.038 3.998
3.642 3.781 1.352
1.011 -2.038 3.998
4.820 2.036 5.123
3.642 -3.781 1.352
4.820 -2.036 5.123
7.299 0.000 2.714
3.641 0.000 1.356
2.917 4.754 4.562
2.917 -4.754 4.562
```

E_tot: -2.66 eV/atom
formation energy from the elements: -0.17 eV per atom
N(E_F): 13.1 states/eV/f.u.


Entry 5:
Computed, not measured: a geometry-optimized NaCa2Tl4 structure at the GGA-PBE level of DFT.

POSCAR file:
```
NaCa2Tl4
1.0
-2.733 2.733 8.202
2.733 -2.733 8.202
2.733 2.733 -8.202
Na Ca Tl
1 2 4
Cartesian
0.000 0.000 0.000
0.000 0.000 6.239
0.000 0.000 10.165
2.733 0.000 0.000
0.000 0.000 2.996
0.000 2.733 0.000
0.000 0.000 13.408
```

E_tot: -2.06 eV/atom
energy above the most stable polymorph in this dataset: 206.2 meV per atom
formation energy from the elements: 0.05 eV per atom
N(E_F): 5.0 states/eV/f.u.


Entry 6:
Computed, not measured: a geometry-optimized MnSn2Te structure at the GGA-PBE level of DFT.

POSCAR file:
```
MnSn2Te
1.0
-3.099 3.099 6.279
3.099 -3.099 6.279
3.099 3.099 -6.279
Mn Sn Te
2 4 2
Cartesian
0.000 0.000 0.000
0.000 3.099 3.140
4.649 1.121 -1.570
1.121 1.550 1.570
-1.550 1.978 4.709
1.978 1.550 7.849
3.099 0.000 3.140
0.000 0.000 6.279
```

E_tot: -4.44 eV/atom
energy relative to the elements, uncorrected: 0.64 eV per atom
N(E_F): 6.1 states/eV/f.u.


Copy entry 3 word for word.
Computed, not measured: a geometry-optimized Sr2Tc3O10 structure at the GGA-PBE level of DFT.

POSCAR file:
```
Sr2Tc3O10
1.0
9.282 -2.870 0.000
9.282 2.870 0.000
-3.082 0.000 7.265
Sr Tc O
4 6 20
Cartesian
1.140 0.000 1.657
1.173 0.000 5.854
14.310 0.000 1.411
14.342 0.000 5.609
7.741 1.313 3.633
4.362 0.000 3.420
7.666 0.000 0.047
7.817 0.000 7.219
11.121 0.000 3.845
7.741 -1.313 3.633
3.100 1.435 3.633
-1.687 0.000 4.852
6.591 1.431 0.177
5.788 1.344 3.459
4.249 0.000 1.602
9.282 1.237 0.000
4.495 0.000 5.447
9.695 1.344 3.806
8.891 1.431 7.089
7.847 0.000 2.109
3.100 -1.435 3.633
7.636 0.000 5.157
6.591 -1.431 0.177
5.788 -1.344 3.459
10.988 0.000 1.819
9.282 -1.237 0.000
11.233 0.000 5.664
9.695 -1.344 3.806
8.891 -1.431 7.089
17.170 0.000 2.413
```

E_tot: -7.47 eV/atom
energy relative to the elements, uncorrected: -1.87 eV per atom
N(E_F): 4.4 states/eV/f.u.


Q: The lowest E_tot belongs to which entry?
A: Zr7P


Q: Which of these has the highest N(E_F)?
A: Pa2GaNi12H3


Q: The highest E_tot belongs to which entry?
A: NaCa2Tl4